First-principles (PBE-GGA) data for crystalline Tb2HoTm12 at its relaxed geometry, as listed in the Alexandria database.

Total magnetization, μB per formula unit: 0.0
Fermi-level density of states, states/eV/cell: 26.35
Total energy, eV per formula unit: -66.969
Energy of formation, eV per formula unit: 0.53

Cell and atoms, written as CIF:
```
data_Tb2HoTm12
_symmetry_space_group_name_H-M 'P 1'
_symmetry_Int_Tables_number 1
_cell_length_a 23.878
_cell_length_b 23.878
_cell_length_c 3.521
_cell_angle_alpha 94.14
_cell_angle_beta 94.14
_cell_angle_gamma 13.21
loop_
_symmetry_equiv_pos_as_xyz
'x,y,z'
loop_
_atom_site_label
_atom_site_type_symbol
_atom_site_fract_x
_atom_site_fract_y
_atom_site_fract_z
_atom_site_occupancy
Tb1 Tb 0.138 0.138 0.136 1
Tb2 Tb 0.862 0.862 0.864 1
Ho1 Ho 0.000 0.000 0.000 1
Tm1 Tm 0.071 0.071 0.569 1
Tm2 Tm 0.201 0.201 0.698 1
Tm3 Tm 0.271 0.271 0.775 1
Tm4 Tm 0.338 0.338 0.342 1
Tm5 Tm 0.405 0.405 0.909 1
Tm6 Tm 0.467 0.467 0.470 1
Tm7 Tm 0.533 0.533 0.530 1
Tm8 Tm 0.595 0.595 0.091 1
Tm9 Tm 0.662 0.662 0.658 1
Tm10 Tm 0.729 0.729 0.225 1
Tm11 Tm 0.799 0.799 0.302 1
Tm12 Tm 0.929 0.929 0.431 1
```